(1)
Computed, not measured: a relaxed Hg5Ru4 crystal at the GGA-PBE level of DFT.

a = 6.5790 Å, b = 6.5790 Å, c = 6.5790 Å
α = 95.74°, β = 95.74°, γ = 143.14°
Sites, in units of the cell vectors:
Hg 0.0000 0.0000 0.0000
Hg 0.3284 0.3284 0.6568
Hg 0.3284 0.6716 0.0000
Hg 0.6716 0.3284 0.0000
Hg 0.6716 0.6716 0.3432
Ru 0.0000 0.3574 0.3574
Ru 0.0000 0.6426 0.6426
Ru 0.3574 0.0000 0.3574
Ru 0.6426 0.0000 0.6426

Computed properties:
The theoretical density comes out at 14.42 g cm⁻³. Its symmetry is I4/mmm (139). Its crystal system is tetragonal. Its size of the total moment is 1.7 Bohr magnetons per cell. As for the total energy: -3.7936 eV per atom.

=====

(2)
Computed, not measured: a relaxed Hg3Ru crystal at the GGA-PBE level of DFT.

a = 9.3413 Å, b = 9.3413 Å, c = 9.3413 Å
α = 153.96°, β = 153.96°, γ = 37.16°
Sites, in units of the cell vectors:
Hg 0.0000 0.5000 0.5000
Hg 0.1271 0.1271 0.0000
Hg 0.2500 0.7500 0.5000
Hg 0.5000 0.0000 0.5000
Hg 0.7500 0.2500 0.5000
Hg 0.8729 0.8729 0.0000
Ru 0.3861 0.3861 0.0000
Ru 0.6139 0.6139 0.0000

Computed properties:
The theoretical density comes out at 14.88 g cm⁻³. Its symmetry is I4/mmm (139). Its crystal system is tetragonal. Its size of the total moment is 0.0 Bohr magnetons per cell. As for the total energy: -2.0863 eV per atom.

=====

(3)
Computed, not measured: a relaxed Hg3Ru crystal at the GGA-PBE level of DFT.

a = 7.0937 Å, b = 8.4846 Å, c = 5.7738 Å
α = 90.00°, β = 90.00°, γ = 90.00°
Sites, in units of the cell vectors:
Hg 0.0331 0.2500 0.1305
Hg 0.1860 0.0397 0.6418
Hg 0.1860 0.4603 0.6418
Hg 0.3140 0.5397 0.1418
Hg 0.3140 0.9603 0.1418
Hg 0.4669 0.7500 0.6305
Hg 0.5331 0.2500 0.3695
Hg 0.6860 0.0397 0.8582
Hg 0.6860 0.4603 0.8582
Hg 0.8140 0.5397 0.3582
Hg 0.8140 0.9603 0.3582
Hg 0.9669 0.7500 0.8695
Ru 0.1155 0.7500 0.4109
Ru 0.3845 0.2500 0.9109
Ru 0.6155 0.7500 0.0891
Ru 0.8845 0.2500 0.5891

Computed properties:
The theoretical density comes out at 13.43 g cm⁻³. Its symmetry is Pnma (62). Its crystal system is orthorhombic. Its size of the total moment is 0.0 Bohr magnetons per cell. As for the total energy: -2.1446 eV per atom.

=====

(4)
Computed, not measured: a relaxed Hg3Ru crystal at the GGA-PBE level of DFT.

a = 3.1008 Å, b = 4.2284 Å, c = 6.0770 Å
α = 90.00°, β = 90.00°, γ = 90.00°
Sites, in units of the cell vectors:
Hg 0.0000 0.0000 0.0000
Hg 0.5000 0.5000 0.2685
Hg 0.5000 0.5000 0.7315
Ru 0.0000 0.0000 0.5000

Computed properties:
The theoretical density comes out at 14.65 g cm⁻³. Its symmetry is Pmmm (47). Its crystal system is orthorhombic. Its size of the total moment is 0.9 Bohr magnetons per cell. As for the total energy: -2.0202 eV per atom.

=====

(5)
Computed, not measured: a relaxed Hg3Ru crystal at the GGA-PBE level of DFT.

a = 7.1243 Å, b = 7.1243 Å, c = 7.1243 Å
α = 155.99°, β = 141.68°, γ = 45.73°
Sites, in units of the cell vectors:
Hg 0.0000 0.0000 0.0000
Hg 0.3175 0.8175 0.5000
Hg 0.6825 0.1825 0.5000
Ru 0.5000 0.5000 0.0000

Computed properties:
The theoretical density comes out at 12.83 g cm⁻³. Its symmetry is Immm (71). Its crystal system is orthorhombic. Its size of the total moment is 0.0 Bohr magnetons per cell. As for the total energy: -2.1706 eV per atom.

=====

(6)
Computed, not measured: a relaxed Hg8Ru crystal at the GGA-PBE level of DFT.

a = 8.6597 Å, b = 8.6597 Å, c = 8.6597 Å
α = 91.71°, β = 91.71°, γ = 160.11°
Sites, in units of the cell vectors:
Hg 0.0000 0.3331 0.3331
Hg 0.0000 0.6669 0.6669
Hg 0.3331 0.0000 0.3331
Hg 0.3540 0.3540 0.7081
Hg 0.3540 0.6460 0.0000
Hg 0.6460 0.3540 0.0000
Hg 0.6460 0.6460 0.2919
Hg 0.6669 0.0000 0.6669
Ru 0.0000 0.0000 0.0000

Computed properties:
The theoretical density comes out at 13.02 g cm⁻³. Its symmetry is I4/mmm (139). Its crystal system is tetragonal. Its size of the total moment is 1.3 Bohr magnetons per cell. As for the total energy: -1.0053 eV per atom.

=====

(7)
Computed, not measured: a relaxed Hg3Ru crystal at the GGA-PBE level of DFT.

a = 10.3064 Å, b = 10.3064 Å, c = 10.3064 Å
α = 17.11°, β = 17.11°, γ = 17.11°
Sites, in units of the cell vectors:
Hg 0.0000 0.0000 0.0000
Hg 0.2409 0.2409 0.2409
Hg 0.7591 0.7591 0.7591
Ru 0.5000 0.5000 0.5000

Computed properties:
The theoretical density comes out at 14.12 g cm⁻³. Its symmetry is R-3m (166). Its crystal system is trigonal. Its size of the total moment is 1.0 Bohr magnetons per cell. As for the total energy: -2.0674 eV per atom.

=====

(8)
Computed, not measured: a relaxed Hg3Ru crystal at the GGA-PBE level of DFT.

a = 5.7666 Å, b = 5.7666 Å, c = 5.7666 Å
α = 149.04°, β = 65.71°, γ = 123.63°
Sites, in units of the cell vectors:
Hg 0.0000 0.0000 0.0000
Hg 0.4099 0.6365 0.7735
Hg 0.8630 0.6365 0.2265
Ru 0.4400 0.9400 0.5000

Computed properties:
The theoretical density comes out at 14.37 g cm⁻³. Its symmetry is Imm2 (44). Its crystal system is orthorhombic. Its size of the total moment is 1.2 Bohr magnetons per cell. As for the total energy: -2.0905 eV per atom.

=====

(9)
Computed, not measured: a relaxed Hg3Ru crystal at the GGA-PBE level of DFT.

a = 5.4639 Å, b = 5.4639 Å, c = 5.4639 Å
α = 135.30°, β = 135.30°, γ = 65.06°
Sites, in units of the cell vectors:
Hg 0.0000 0.0000 0.0000
Hg 0.2500 0.7500 0.5000
Hg 0.7500 0.2500 0.5000
Ru 0.5000 0.5000 0.0000

Computed properties:
The theoretical density comes out at 14.67 g cm⁻³. Its symmetry is I4/mmm (139). Its crystal system is tetragonal. Its size of the total moment is 0.9 Bohr magnetons per cell. As for the total energy: -2.0217 eV per atom.

=====

(10)
Computed, not measured: a relaxed HgRu4 crystal at the GGA-PBE level of DFT.

a = 4.8860 Å, b = 4.8860 Å, c = 4.8860 Å
α = 90.00°, β = 90.00°, γ = 90.00°
Sites, in units of the cell vectors:
Hg 0.0000 0.0000 0.0000
Ru 0.0000 0.0000 0.5000
Ru 0.0000 0.5000 0.0000
Ru 0.5000 0.0000 0.0000
Ru 0.5000 0.5000 0.5000

Computed properties:
The theoretical density comes out at 8.61 g cm⁻³. Its symmetry is Pm-3m (221). Its crystal system is cubic. Its size of the total moment is 8.1 Bohr magnetons per cell. As for the total energy: -4.6762 eV per atom.

=====

(11)
Computed, not measured: a relaxed Hg3Ru crystal at the GGA-PBE level of DFT.

a = 4.6070 Å, b = 5.9199 Å, c = 5.8538 Å
α = 90.00°, β = 90.00°, γ = 90.00°
Sites, in units of the cell vectors:
Hg 0.2500 0.0006 0.1529
Hg 0.2500 0.4994 0.1529
Hg 0.2500 0.7500 0.6145
Hg 0.7500 0.2500 0.3855
Hg 0.7500 0.5006 0.8471
Hg 0.7500 0.9994 0.8471
Ru 0.2500 0.2500 0.6767
Ru 0.7500 0.7500 0.3233

Computed properties:
The theoretical density comes out at 14.62 g cm⁻³. Its symmetry is Pmmn (59). Its crystal system is orthorhombic. Its size of the total moment is 0.0 Bohr magnetons per cell. As for the total energy: -2.0490 eV per atom.

=====

(12)
Computed, not measured: a relaxed Hg3Ru crystal at the GGA-PBE level of DFT.

a = 6.0652 Å, b = 6.0652 Å, c = 4.8821 Å
α = 90.00°, β = 90.00°, γ = 120.00°
Sites, in units of the cell vectors:
Hg 0.1720 0.3439 0.2500
Hg 0.1720 0.8280 0.2500
Hg 0.3439 0.1720 0.7500
Hg 0.6561 0.8280 0.2500
Hg 0.8280 0.1720 0.7500
Hg 0.8280 0.6561 0.7500
Ru 0.3333 0.6667 0.7500
Ru 0.6667 0.3333 0.2500

Computed properties:
The theoretical density comes out at 15.01 g cm⁻³. Its symmetry is P6_3/mmc (194). Its crystal system is hexagonal. Its size of the total moment is 0.0 Bohr magnetons per cell. As for the total energy: -2.0479 eV per atom.

=====

(13)
Computed, not measured: a relaxed Hg3Ru crystal at the GGA-PBE level of DFT.

a = 4.8057 Å, b = 4.8057 Å, c = 4.8057 Å
α = 60.00°, β = 60.00°, γ = 60.00°
Sites, in units of the cell vectors:
Hg 0.0000 0.0000 0.0000
Hg 0.2500 0.2500 0.2500
Hg 0.7500 0.7500 0.7500
Ru 0.5000 0.5000 0.5000

Computed properties:
The theoretical density comes out at 14.87 g cm⁻³. Its symmetry is Fm-3m (225). Its crystal system is cubic. Its size of the total moment is 0.6 Bohr magnetons per cell. As for the total energy: -1.9211 eV per atom.

=====

(14)
Computed, not measured: a relaxed HgRuS3 crystal at the GGA-PBE level of DFT.

a = 4.9421 Å, b = 4.9421 Å, c = 4.9421 Å
α = 90.00°, β = 90.00°, γ = 90.00°
Sites, in units of the cell vectors:
Hg 0.0000 0.0000 0.0000
Ru 0.5000 0.5000 0.5000
S 0.0000 0.0000 0.5000
S 0.0000 0.5000 0.0000
S 0.5000 0.0000 0.0000

Computed properties:
The theoretical density comes out at 5.47 g cm⁻³. Its symmetry is Pm-3m (221). Its crystal system is cubic. The uncorrected formation energy is 1499 meV per atom. Its size of the total moment is 4.4 Bohr magnetons per cell.

=====

(15)
Computed, not measured: a relaxed HgRuS3 crystal at the GGA-PBE level of DFT.

a = 4.6695 Å, b = 4.6695 Å, c = 4.6695 Å
α = 90.00°, β = 90.00°, γ = 90.00°
Sites, in units of the cell vectors:
Hg 0.0000 0.0000 0.0000
Ru 0.5000 0.5000 0.5000
S 0.0000 0.5000 0.5000
S 0.5000 0.0000 0.5000
S 0.5000 0.5000 0.0000

Computed properties:
The theoretical density comes out at 6.49 g cm⁻³. Its symmetry is Pm-3m (221). Its crystal system is cubic. The uncorrected formation energy is 397 meV per atom. Its size of the total moment is 0.0 Bohr magnetons per cell.

=====

(16)
Computed, not measured: a relaxed Hg3RuS crystal at the GGA-PBE level of DFT.

a = 5.2742 Å, b = 5.2742 Å, c = 5.2742 Å
α = 90.00°, β = 90.00°, γ = 90.00°
Sites, in units of the cell vectors:
Hg 0.0000 0.0000 0.5000
Hg 0.0000 0.5000 0.0000
Hg 0.5000 0.0000 0.0000
Ru 0.0000 0.0000 0.0000
S 0.5000 0.5000 0.5000

Computed properties:
The theoretical density comes out at 8.32 g cm⁻³. Its symmetry is Pm-3m (221). Its crystal system is cubic. The uncorrected formation energy is 878 meV per atom. Its size of the total moment is 2.9 Bohr magnetons per cell.

=====

(17)
Computed, not measured: a relaxed Hg3RuS crystal at the GGA-PBE level of DFT.

a = 5.1141 Å, b = 5.1141 Å, c = 5.1141 Å
α = 90.00°, β = 90.00°, γ = 90.00°
Sites, in units of the cell vectors:
Hg 0.0000 0.0000 0.5000
Hg 0.0000 0.5000 0.0000
Hg 0.5000 0.0000 0.0000
Ru 0.5000 0.5000 0.5000
S 0.0000 0.0000 0.0000

Computed properties:
The theoretical density comes out at 9.12 g cm⁻³. Its symmetry is Pm-3m (221). Its crystal system is cubic. The uncorrected formation energy is 1230 meV per atom. Its size of the total moment is 2.7 Bohr magnetons per cell.

=====

(18)
Computed, not measured: a relaxed Hg2RuS crystal at the GGA-PBE level of DFT.

a = 6.1371 Å, b = 6.1371 Å, c = 6.1371 Å
α = 100.85°, β = 100.85°, γ = 128.57°
Sites, in units of the cell vectors:
Hg 0.1219 0.6250 0.9969
Hg 0.3750 0.3719 0.4969
Hg 0.6281 0.1250 0.0031
Hg 0.8750 0.8781 0.5031
Ru 0.2500 0.7500 0.5000
Ru 0.5000 0.5000 0.0000
S 0.0000 0.0000 0.0000
S 0.7500 0.2500 0.5000

Computed properties:
The theoretical density comes out at 10.90 g cm⁻³. Its symmetry is I-42d (122). Its crystal system is tetragonal. The uncorrected formation energy is 673 meV per atom. Its size of the total moment is 3.0 Bohr magnetons per cell.

=====

(19)
Computed, not measured: a relaxed Sr2HgRuS crystal at the GGA-PBE level of DFT.

a = 5.9178 Å, b = 5.9178 Å, c = 4.3860 Å
α = 90.00°, β = 90.00°, γ = 90.00°
Sites, in units of the cell vectors:
Sr 0.0000 0.5000 0.0000
Sr 0.5000 0.0000 0.0000
Hg 0.0000 0.0000 0.5000
Ru 0.5000 0.5000 0.0000
S 0.5000 0.5000 0.5000

Computed properties:
The theoretical density comes out at 5.50 g cm⁻³. Its symmetry is P4/mmm (123). Its crystal system is tetragonal. The uncorrected formation energy is -388 meV per atom. Its size of the total moment is 0.0 Bohr magnetons per cell.

=====

(20)
Computed, not measured: a relaxed HgRuWS2 crystal at the GGA-PBE level of DFT.

a = 4.5517 Å, b = 4.5517 Å, c = 5.0132 Å
α = 90.00°, β = 90.00°, γ = 90.00°
Sites, in units of the cell vectors:
Hg 0.0000 0.0000 0.0000
Ru 0.5000 0.5000 0.5000
W 0.5000 0.5000 0.0000
S 0.0000 0.5000 0.5000
S 0.5000 0.0000 0.5000

Computed properties:
The theoretical density comes out at 8.79 g cm⁻³. Its symmetry is P4/mmm (123). Its crystal system is tetragonal. The uncorrected formation energy is 1043 meV per atom. Its size of the total moment is 2.0 Bohr magnetons per cell.